Here is LiSi after structural relaxation from Alexandria via LeMat-Bulk. Energies are from PBE.

Structure (CIF):
```
data_LiSi
_chemical_formula_sum 'Li6 Si6'
_symmetry_space_group_name_H-M 'P 1'
_symmetry_Int_Tables_number 1
_cell_length_a 7.205
_cell_length_b 7.205
_cell_length_c 4.112
_cell_angle_alpha 90.00
_cell_angle_beta 90.00
_cell_angle_gamma 120.00
loop_
_symmetry_equiv_pos_as_xyz
'x,y,z'
loop_
_atom_site_label
_atom_site_type_symbol
_atom_site_fract_x
_atom_site_fract_y
_atom_site_fract_z
Si1 Si 0.613 0.511 0.250
Si2 Si 0.387 0.489 0.750
Si3 Si 0.489 0.102 0.250
Si4 Si 0.898 0.387 0.250
Si5 Si 0.102 0.613 0.750
Si6 Si 0.511 0.898 0.750
Li1 Li 0.787 0.755 0.750
Li2 Li 0.032 0.787 0.250
Li3 Li 0.245 0.032 0.750
Li4 Li 0.213 0.245 0.250
Li5 Li 0.755 0.968 0.250
Li6 Li 0.968 0.213 0.750
```

Summary:
For the formation energy without anion corrections, the calculation gives 0.9 kJ per mole of atoms. As for the space-group type: P6_3/m, No. 176. As for the total energy: -3.6595 eV per atom. The theoretical density is 1.9 Mg/m³.

=====

Here is Ba3CaSi after structural relaxation from Alexandria via LeMat-Bulk. Energies are from PBE.

Structure (CIF):
```
data_Ba3CaSi
_chemical_formula_sum 'Ba3 Ca1 Si1'
_symmetry_space_group_name_H-M 'P 1'
_symmetry_Int_Tables_number 1
_cell_length_a 6.518
_cell_length_b 6.518
_cell_length_c 6.518
_cell_angle_alpha 90.00
_cell_angle_beta 90.00
_cell_angle_gamma 90.00
loop_
_symmetry_equiv_pos_as_xyz
'x,y,z'
loop_
_atom_site_label
_atom_site_type_symbol
_atom_site_fract_x
_atom_site_fract_y
_atom_site_fract_z
Ba1 Ba 0.500 0.000 0.000
Ba2 Ba 0.000 0.000 0.500
Ba3 Ba 0.000 0.500 0.000
Ca1 Ca 0.500 0.500 0.500
Si1 Si 0.000 0.000 0.000
```

Summary:
For the formation energy without anion corrections, the calculation gives 0.5 kJ per mole of atoms. As for the space-group type: Pm-3m, No. 221. The value obtained for the energy above the most stable polymorph in this dataset is 0 meV per atom. As for the total energy: -2.6334 eV per atom. The theoretical density is 2.9 Mg/m³.

=====

Here is LaHgMoH2 after structural relaxation from Alexandria via LeMat-Bulk. Energies are from PBE.

Structure (CIF):
```
data_LaHgMoH2
_chemical_formula_sum 'La1 Hg1 Mo1 H2'
_symmetry_space_group_name_H-M 'P 1'
_symmetry_Int_Tables_number 1
_cell_length_a 4.263
_cell_length_b 4.263
_cell_length_c 5.186
_cell_angle_alpha 90.00
_cell_angle_beta 90.00
_cell_angle_gamma 90.00
loop_
_symmetry_equiv_pos_as_xyz
'x,y,z'
loop_
_atom_site_label
_atom_site_type_symbol
_atom_site_fract_x
_atom_site_fract_y
_atom_site_fract_z
Mo1 Mo 0.000 0.000 0.000
Hg1 Hg 0.500 0.500 0.500
La1 La 0.000 0.000 0.500
H1 H 0.500 0.000 0.000
H2 H 0.000 0.500 0.000
```

Summary:
As for the space-group type: P4/mmm, No. 123. As for the total energy: -3.9373 eV per atom. The theoretical density is 7.7 Mg/m³.

=====

Here is CeCdGe2Pd5 after structural relaxation from Alexandria via LeMat-Bulk. Energies are from PBE.

Structure (CIF):
```
data_CeCdGe2Pd5
_chemical_formula_sum 'Ce1 Cd1 Ge2 Pd5'
_symmetry_space_group_name_H-M 'P 1'
_symmetry_Int_Tables_number 1
_cell_length_a 4.315
_cell_length_b 4.315
_cell_length_c 8.846
_cell_angle_alpha 90.00
_cell_angle_beta 90.00
_cell_angle_gamma 90.00
loop_
_symmetry_equiv_pos_as_xyz
'x,y,z'
loop_
_atom_site_label
_atom_site_type_symbol
_atom_site_fract_x
_atom_site_fract_y
_atom_site_fract_z
Pd1 Pd 0.500 0.000 0.271
Pd2 Pd 0.000 0.500 0.271
Pd3 Pd 0.500 0.500 0.500
Pd4 Pd 0.500 0.000 0.729
Pd5 Pd 0.000 0.500 0.729
Ge1 Ge 0.500 0.500 0.865
Ge2 Ge 0.500 0.500 0.135
Cd1 Cd 0.000 0.000 0.000
Ce1 Ce 0.000 0.000 0.500
```

Summary:
As for the space-group type: P4/mmm, No. 123. As for the total energy: -5.1721 eV per atom. The formation energy from the elements is -0.500 eV/atom. The theoretical density is 9.4 Mg/m³.

=====

Here is CsRe3Ir after structural relaxation from Alexandria via LeMat-Bulk. Energies are from PBE.

Structure (CIF):
```
data_CsRe3Ir
_chemical_formula_sum 'Cs1 Re3 Ir1'
_symmetry_space_group_name_H-M 'P 1'
_symmetry_Int_Tables_number 1
_cell_length_a 4.777
_cell_length_b 4.777
_cell_length_c 4.777
_cell_angle_alpha 90.00
_cell_angle_beta 90.00
_cell_angle_gamma 90.00
loop_
_symmetry_equiv_pos_as_xyz
'x,y,z'
loop_
_atom_site_label
_atom_site_type_symbol
_atom_site_fract_x
_atom_site_fract_y
_atom_site_fract_z
Re1 Re 0.000 0.000 0.500
Re2 Re 0.000 0.500 0.000
Re3 Re 0.500 0.000 0.000
Ir1 Ir 0.500 0.500 0.500
Cs1 Cs 0.000 0.000 0.000
```

Summary:
As for the space-group type: Pm-3m, No. 221. As for the total energy: -5.0719 eV per atom. The formation energy from the elements is 4.340 eV/atom. The theoretical density is 13.5 Mg/m³.

=====

Here is BaAs after structural relaxation from Alexandria via LeMat-Bulk. Energies are from PBE.

Structure (CIF):
```
data_BaAs
_chemical_formula_sum 'Ba2 As2'
_symmetry_space_group_name_H-M 'P 1'
_symmetry_Int_Tables_number 1
_cell_length_a 6.177
_cell_length_b 6.178
_cell_length_c 4.923
_cell_angle_alpha 113.43
_cell_angle_beta 113.40
_cell_angle_gamma 72.64
loop_
_symmetry_equiv_pos_as_xyz
'x,y,z'
loop_
_atom_site_label
_atom_site_type_symbol
_atom_site_fract_x
_atom_site_fract_y
_atom_site_fract_z
Ba1 Ba 0.978 0.772 0.981
Ba2 Ba 0.434 0.227 0.436
As1 As 0.035 0.171 0.709
As2 As 0.378 0.828 0.709
```

Summary:
As for the space-group type: C2/m, No. 12. As for the total energy: -4.3095 eV per atom. The formation energy from the elements is -1.023 eV/atom. The theoretical density is 4.5 Mg/m³.

=====

Among the records above, which one has the lowest theoretical density? LiSi

=====

Look up the theoretical density of the fifth one. 13.5 Mg/m³

=====

theoretical density of number 6 (BaAs)? 4.5 Mg/m³

=====

What is the theoretical density in the first record? 1.9 Mg/m³